VASP calculation (GGA-PBE) on AcGaRh after structural relaxation.

Total moment in μB/atom: 0.000
V in Å³ per cell: 312
Energy above the lowest structure with this stoichiometry in meV/atom: 219
N(E_F) in states/eV/atom: 0.57
Energy relative to the elements in eV per atom: -0.519

The structure in CIF format:
```
data_AcGaRh
_chemical_formula_sum 'Ac4 Ga4 Rh4'
_cell_length_a 6.784
_cell_length_b 6.784
_cell_length_c 6.784
_cell_angle_alpha 90.00
_cell_angle_beta 90.00
_cell_angle_gamma 90.00
_symmetry_space_group_name_H-M 'F -4 3 m'
_symmetry_Int_Tables_number 216
_symmetry_space_group_name_Hall 'F -4 2 3'
loop_
_atom_site_label
_atom_site_type_symbol
_atom_site_fract_x
_atom_site_fract_y
_atom_site_fract_z
Ac1 Ac 0.000 0.000 0.000
Ga1 Ga 0.000 0.000 0.500
Rh1 Rh 0.250 0.250 0.250
```

---

VASP calculation (GGA-PBE) on Tb3Dy8Tm4 after structural relaxation.

Total moment in μB/atom: 0.000
V in Å³ per cell: 973
N(E_F) in states/eV/atom: 1.86
Energy relative to the elements in eV per atom: 0.410

The structure in CIF format:
```
data_Tb3Dy8Tm4
_chemical_formula_sum 'Tb6 Dy16 Tm8'
_cell_length_a 13.259
_cell_length_b 12.674
_cell_length_c 6.671
_cell_angle_alpha 90.00
_cell_angle_beta 119.83
_cell_angle_gamma 90.00
_symmetry_space_group_name_H-M 'C 1 2/m 1'
_symmetry_Int_Tables_number 12
loop_
_symmetry_equiv_pos_as_xyz
'x,y,z'
'-x,-y,-z'
'-x,y,-z'
'x,-y,z'
'x+1/2,y+1/2,z'
'-x+1/2,-y+1/2,-z'
'-x+1/2,y+1/2,-z'
'x+1/2,-y+1/2,z'
loop_
_atom_site_label
_atom_site_type_symbol
_atom_site_fract_x
_atom_site_fract_y
_atom_site_fract_z
Tb1 Tb 0.000 0.000 0.000
Tb2 Tb 0.250 0.250 0.000
Dy1 Dy 0.000 0.143 0.500
Dy2 Dy 0.000 0.250 0.000
Dy3 Dy 0.229 0.000 0.935
Dy4 Dy 0.242 0.000 0.470
Tm1 Tm 0.000 0.500 0.000
Tm2 Tm 0.000 0.500 0.500
Tm3 Tm 0.250 0.250 0.500
```

---

VASP calculation (GGA-PBE) on Hf3AlC after structural relaxation.

Total moment in μB/atom: 0.000
V in Å³ per cell: 350
N(E_F) in states/eV/atom: 0.61
Energy relative to the elements in eV per atom: -0.608

The structure in CIF format:
```
data_Hf3AlC
_chemical_formula_sum 'Hf12 Al4 C4'
_cell_length_a 3.356
_cell_length_b 11.526
_cell_length_c 9.044
_cell_angle_alpha 90.00
_cell_angle_beta 90.00
_cell_angle_gamma 90.00
_symmetry_space_group_name_H-M 'C m c m'
_symmetry_Int_Tables_number 63
_symmetry_space_group_name_Hall '-C 2c 2'
loop_
_atom_site_label
_atom_site_type_symbol
_atom_site_fract_x
_atom_site_fract_y
_atom_site_fract_z
Hf1 Hf 0.000 0.041 0.250
Hf2 Hf 0.000 0.371 0.040
Al1 Al 0.000 0.250 0.750
C1 C 0.000 0.000 0.000
```

---

VASP calculation (GGA-PBE) on MnMo2Ir after structural relaxation.

Total moment in μB/atom: 0.441
V in Å³ per cell: 116
Energy above the lowest structure with this stoichiometry in meV/atom: 2
N(E_F) in states/eV/atom: 0.83
Energy relative to the elements in eV per atom: -0.070

The structure in CIF format:
```
data_MnMo2Ir
_chemical_formula_sum 'Mn2 Mo4 Ir2'
_cell_length_a 3.835
_cell_length_b 3.835
_cell_length_c 7.920
_cell_angle_alpha 90.00
_cell_angle_beta 90.00
_cell_angle_gamma 90.00
_symmetry_space_group_name_H-M 'I 4/m m m'
_symmetry_Int_Tables_number 139
_symmetry_space_group_name_Hall '-I 4 2'
loop_
_atom_site_label
_atom_site_type_symbol
_atom_site_fract_x
_atom_site_fract_y
_atom_site_fract_z
Mn1 Mn 0.000 0.000 0.000
Mo1 Mo 0.000 0.500 0.250
Ir1 Ir 0.000 0.000 0.500
```